(1)
DFT (PBE-GGA) results for crystalline MgSb at its relaxed geometry.

DFT total energy ... -17.8 eV/cell
Magnetization ... 0.00 μB per formula unit
Energy relative to the elements, uncorrected ... -0.110 eV/atom

Unit cell a=8.813 b=8.813 c=5.527 alpha=90.00 beta=90.00 gamma=159.49
Positions (direct):
Mg 0.971 0.029 0.000
Mg 0.639 0.361 0.000
Mg 0.806 0.194 0.500
Sb 0.306 0.694 0.000
Sb 0.151 0.849 0.500
Sb 0.460 0.540 0.500

=====

(2)
DFT (PBE-GGA) results for crystalline MgSb at its relaxed geometry.

DFT total energy ... -43.3 eV/cell
Magnetization ... 0.00 μB per formula unit
Energy relative to the elements, uncorrected ... 0.151 eV/atom

Unit cell a=8.879 b=8.879 c=8.879 alpha=90.00 beta=90.00 gamma=90.00
Positions (direct):
Mg 0.143 0.143 0.143
Mg 0.143 0.857 0.857
Mg 0.857 0.143 0.857
Mg 0.857 0.857 0.143
Mg 0.643 0.643 0.643
Mg 0.643 0.357 0.357
Mg 0.357 0.643 0.357
Mg 0.357 0.357 0.643
Sb 0.324 0.324 0.324
Sb 0.324 0.676 0.676
Sb 0.676 0.324 0.676
Sb 0.676 0.676 0.324
Sb 0.824 0.824 0.824
Sb 0.824 0.176 0.176
Sb 0.176 0.824 0.176
Sb 0.176 0.176 0.824

=====

(3)
DFT (PBE-GGA) results for crystalline MgSb3 at its relaxed geometry.

DFT total energy ... -27.4 eV/cell
Magnetization ... 0.00 μB per formula unit
Energy relative to the elements, uncorrected ... 0.066 eV/atom

Unit cell a=6.722 b=6.722 c=5.367 alpha=90.00 beta=90.00 gamma=120.00
Positions (direct):
Mg 0.333 0.667 0.250
Mg 0.667 0.333 0.750
Sb 0.824 0.649 0.250
Sb 0.351 0.176 0.250
Sb 0.824 0.176 0.250
Sb 0.176 0.351 0.750
Sb 0.649 0.824 0.750
Sb 0.176 0.824 0.750

=====

(4)
DFT (PBE-GGA) results for crystalline MgSb at its relaxed geometry.

DFT total energy ... -11.5 eV/cell
Magnetization ... 0.00 μB per formula unit
Energy relative to the elements, uncorrected ... -0.017 eV/atom

Unit cell a=3.167 b=3.167 c=10.287 alpha=90.00 beta=90.00 gamma=90.00
Positions (direct):
Mg 0.250 0.250 0.114
Mg 0.750 0.750 0.886
Sb 0.250 0.250 0.668
Sb 0.750 0.750 0.332

=====

(5)
DFT (PBE-GGA) results for crystalline Mg15Sb at its relaxed geometry.

DFT total energy ... -28.6 eV/cell
Magnetization ... 0.00 μB per formula unit
Energy relative to the elements, uncorrected ... -0.032 eV/atom

Unit cell a=6.423 b=6.423 c=10.319 alpha=90.00 beta=90.00 gamma=120.00
Positions (direct):
Mg 0.000 0.000 0.000
Mg 0.997 0.499 0.500
Mg 0.001 0.501 0.000
Mg 0.501 0.499 0.500
Mg 0.499 0.501 0.000
Mg 0.501 0.003 0.500
Mg 0.499 0.999 0.000
Mg 0.169 0.337 0.252
Mg 0.169 0.337 0.748
Mg 0.169 0.831 0.252
Mg 0.169 0.831 0.748
Mg 0.663 0.831 0.252
Mg 0.663 0.831 0.748
Mg 0.667 0.333 0.252
Mg 0.667 0.333 0.748
Sb 0.000 0.000 0.500

=====

(6)
DFT (PBE-GGA) results for crystalline Mg3Sb2 at its relaxed geometry.

DFT total energy ... -29.4 eV/cell
Magnetization ... 0.00 μB per formula unit
Energy relative to the elements, uncorrected ... -0.331 eV/atom

Unit cell a=7.423 b=7.423 c=7.231 alpha=59.12 beta=59.12 gamma=60.00
Positions (direct):
Sb 0.880 0.880 0.361
Sb 0.380 0.380 0.861
Sb 0.120 0.120 0.639
Sb 0.620 0.620 0.139
Mg 0.010 0.750 0.750
Mg 0.750 0.490 0.750
Mg 0.490 0.010 0.750
Mg 0.250 0.510 0.250
Mg 0.510 0.990 0.250
Mg 0.990 0.250 0.250

=====

(7)
DFT (PBE-GGA) results for crystalline MgSb at its relaxed geometry.

DFT total energy ... -34.2 eV/cell
Magnetization ... 0.00 μB per formula unit
Energy relative to the elements, uncorrected ... 0.006 eV/atom

Unit cell a=9.712 b=9.712 c=4.241 alpha=90.00 beta=90.00 gamma=120.00
Positions (direct):
Mg 0.621 0.129 0.250
Mg 0.492 0.621 0.750
Mg 0.871 0.492 0.250
Mg 0.379 0.871 0.750
Mg 0.508 0.379 0.250
Mg 0.129 0.508 0.750
Sb 0.977 0.253 0.250
Sb 0.724 0.977 0.750
Sb 0.747 0.724 0.250
Sb 0.023 0.747 0.750
Sb 0.276 0.023 0.250
Sb 0.253 0.276 0.750

=====

(8)
DFT (PBE-GGA) results for crystalline MgSb at its relaxed geometry.

DFT total energy ... -12.1 eV/cell
Magnetization ... 0.00 μB per formula unit
Energy relative to the elements, uncorrected ... -0.164 eV/atom

Unit cell a=7.073 b=7.073 c=7.073 alpha=40.22 beta=40.22 gamma=40.22
Positions (direct):
Mg 0.236 0.236 0.236
Mg 0.764 0.764 0.764
Sb 0.075 0.075 0.075
Sb 0.925 0.925 0.925

=====

(9)
DFT (PBE-GGA) results for crystalline MgSb at its relaxed geometry.

DFT total energy ... -24.5 eV/cell
Magnetization ... 0.00 μB per formula unit
Energy relative to the elements, uncorrected ... -0.202 eV/atom

Unit cell a=5.075 b=5.075 c=11.241 alpha=90.00 beta=90.00 gamma=89.98
Positions (direct):
Mg 0.508 0.991 0.750
Mg 0.008 0.491 0.750
Mg 0.492 0.009 0.250
Mg 0.992 0.509 0.250
Sb 0.007 0.992 0.874
Sb 0.507 0.492 0.626
Sb 0.993 0.008 0.126
Sb 0.493 0.508 0.374

=====

(10)
DFT (PBE-GGA) results for crystalline MgSb at its relaxed geometry.

DFT total energy ... -6.0 eV/cell
Magnetization ... 0.00 μB per formula unit
Energy relative to the elements, uncorrected ... -0.131 eV/atom

Unit cell a=3.444 b=3.444 c=4.186 alpha=90.00 beta=90.00 gamma=97.69
Positions (direct):
Mg 0.000 0.000 0.000
Sb 0.500 0.500 0.500

=====

(11)
DFT (PBE-GGA) results for crystalline Mg3Sb2 at its relaxed geometry.

DFT total energy ... -44.3 eV/cell
Magnetization ... 0.00 μB per formula unit
Energy relative to the elements, uncorrected ... -0.347 eV/atom

Unit cell a=4.479 b=9.088 c=10.798 alpha=100.99 beta=90.00 gamma=104.27
Positions (direct):
Mg 0.820 0.640 0.022
Mg 0.180 0.360 0.978
Mg 0.790 0.581 0.387
Mg 0.210 0.419 0.613
Mg 0.126 0.252 0.283
Mg 0.874 0.748 0.717
Mg 0.470 0.940 0.338
Mg 0.530 0.060 0.662
Mg 0.500 0.000 0.000
Sb 0.632 0.263 0.483
Sb 0.368 0.737 0.517
Sb 0.690 0.380 0.147
Sb 0.310 0.620 0.853
Sb 0.966 0.932 0.175
Sb 0.034 0.068 0.825

=====

(12)
DFT (PBE-GGA) results for crystalline MgSb2 at its relaxed geometry.

DFT total energy ... -10.0 eV/cell
Magnetization ... 0.00 μB per formula unit
Energy relative to the elements, uncorrected ... -0.058 eV/atom

Unit cell a=6.338 b=6.338 c=6.338 alpha=149.68 beta=140.98 gamma=50.20
Positions (direct):
Mg 0.000 0.000 0.000
Sb 0.367 0.367 0.000
Sb 0.633 0.633 0.000

=====

(13)
DFT (PBE-GGA) results for crystalline MgSb at its relaxed geometry.

DFT total energy ... -18.0 eV/cell
Magnetization ... 0.00 μB per formula unit
Energy relative to the elements, uncorrected ... -0.145 eV/atom

Unit cell a=5.350 b=5.350 c=6.090 alpha=87.70 beta=87.70 gamma=61.15
Positions (direct):
Mg 0.587 0.413 0.000
Mg 0.250 0.091 0.421
Mg 0.909 0.750 0.579
Sb 0.926 0.754 0.061
Sb 0.246 0.074 0.939
Sb 0.582 0.418 0.500

=====

(14)
DFT (PBE-GGA) results for crystalline MgSb at its relaxed geometry.

DFT total energy ... -5.9 eV/cell
Magnetization ... 0.00 μB per formula unit
Energy relative to the elements, uncorrected ... -0.099 eV/atom

Unit cell a=3.661 b=3.661 c=3.661 alpha=90.00 beta=90.00 gamma=90.00
Positions (direct):
Mg 0.000 0.000 0.000
Sb 0.500 0.500 0.500

=====

(15)
DFT (PBE-GGA) results for crystalline MgSb2 at its relaxed geometry.

DFT total energy ... -20.0 eV/cell
Magnetization ... 0.00 μB per formula unit
Energy relative to the elements, uncorrected ... -0.054 eV/atom

Unit cell a=12.557 b=12.557 c=12.557 alpha=165.21 beta=161.10 gamma=24.08
Positions (direct):
Mg 0.374 0.624 0.750
Mg 0.626 0.376 0.250
Sb 0.803 0.053 0.750
Sb 0.197 0.947 0.250
Sb 0.940 0.190 0.750
Sb 0.060 0.810 0.250

=====

(16)
DFT (PBE-GGA) results for crystalline MgSb8 at its relaxed geometry.

DFT total energy ... -33.2 eV/cell
Magnetization ... 0.00 μB per formula unit
Energy relative to the elements, uncorrected ... 0.148 eV/atom

Unit cell a=8.081 b=8.081 c=8.081 alpha=93.39 beta=93.39 gamma=151.85
Positions (direct):
Mg 0.000 0.000 0.000
Sb 0.347 0.653 0.000
Sb 0.653 0.347 0.000
Sb 0.000 0.329 0.329
Sb 0.653 0.653 0.305
Sb 0.329 0.000 0.329
Sb 0.347 0.347 0.695
Sb 0.000 0.671 0.671
Sb 0.671 0.000 0.671

=====

(17)
DFT (PBE-GGA) results for crystalline MgSb at its relaxed geometry.

DFT total energy ... -32.6 eV/cell
Magnetization ... 0.56 μB per formula unit
Energy relative to the elements, uncorrected ... 0.145 eV/atom

Unit cell a=8.059 b=8.059 c=8.059 alpha=90.00 beta=90.00 gamma=90.00
Positions (direct):
Mg 0.250 0.000 0.500
Mg 0.750 0.000 0.500
Mg 0.000 0.500 0.250
Mg 0.000 0.500 0.750
Mg 0.500 0.250 0.000
Mg 0.500 0.750 0.000
Sb 0.250 0.500 0.000
Sb 0.750 0.500 0.000
Sb 0.500 0.000 0.250
Sb 0.500 0.000 0.750
Sb 0.000 0.250 0.500
Sb 0.000 0.750 0.500

=====

(18)
DFT (PBE-GGA) results for crystalline MgSb at its relaxed geometry.

DFT total energy ... -12.3 eV/cell
Magnetization ... 0.00 μB per formula unit
Energy relative to the elements, uncorrected ... -0.212 eV/atom

Unit cell a=6.308 b=6.308 c=4.410 alpha=71.20 beta=71.20 gamma=38.15
Positions (direct):
Mg 0.010 0.010 0.085
Mg 0.740 0.740 0.665
Sb 0.259 0.259 0.139
Sb 0.491 0.491 0.611

=====

(19)
DFT (PBE-GGA) results for crystalline MgSb2 at its relaxed geometry.

DFT total energy ... -19.5 eV/cell
Magnetization ... 0.00 μB per formula unit
Energy relative to the elements, uncorrected ... 0.033 eV/atom

Unit cell a=5.248 b=5.248 c=6.443 alpha=90.00 beta=90.00 gamma=120.00
Positions (direct):
Mg 0.667 0.333 0.250
Mg 0.333 0.667 0.750
Sb 0.000 0.000 0.000
Sb 0.000 0.000 0.500
Sb 0.333 0.667 0.250
Sb 0.667 0.333 0.750

=====

(20)
DFT (PBE-GGA) results for crystalline MgSb3 at its relaxed geometry.

DFT total energy ... -13.9 eV/cell
Magnetization ... 0.00 μB per formula unit
Energy relative to the elements, uncorrected ... 0.012 eV/atom

Unit cell a=6.631 b=6.631 c=6.631 alpha=142.92 beta=141.21 gamma=54.74
Positions (direct):
Mg 0.000 0.000 0.000
Sb 0.702 0.202 0.500
Sb 0.500 0.500 0.000
Sb 0.298 0.798 0.500

=====

(21)
DFT (PBE-GGA) results for crystalline Mg4Sb3 at its relaxed geometry.

DFT total energy ... -20.5 eV/cell
Magnetization ... 0.00 μB per formula unit
Energy relative to the elements, uncorrected ... -0.251 eV/atom

Unit cell a=4.476 b=7.565 c=6.951 alpha=118.40 beta=108.78 gamma=90.00
Positions (direct):
Mg 0.861 0.575 0.722
Mg 0.139 0.425 0.278
Mg 0.662 0.059 0.325
Mg 0.338 0.941 0.675
Sb 0.000 0.000 0.000
Sb 0.660 0.672 0.321
Sb 0.340 0.328 0.679

=====

(22)
DFT (PBE-GGA) results for crystalline MgSb2 at its relaxed geometry.

DFT total energy ... -9.9 eV/cell
Magnetization ... 0.00 μB per formula unit
Energy relative to the elements, uncorrected ... -0.031 eV/atom

Unit cell a=7.939 b=7.939 c=7.939 alpha=156.55 beta=156.55 gamma=33.41
Positions (direct):
Mg 0.500 0.500 0.000
Sb 0.143 0.143 0.000
Sb 0.857 0.857 0.000

=====

(23)
DFT (PBE-GGA) results for crystalline MgSb at its relaxed geometry.

DFT total energy ... -17.6 eV/cell
Magnetization ... 0.00 μB per formula unit
Energy relative to the elements, uncorrected ... -0.078 eV/atom

Unit cell a=6.579 b=6.579 c=7.110 alpha=76.62 beta=76.62 gamma=29.82
Positions (direct):
Mg 0.993 0.993 0.017
Mg 0.957 0.957 0.597
Mg 0.661 0.661 0.684
Sb 0.598 0.598 0.278
Sb 0.322 0.322 0.353
Sb 0.304 0.304 0.903

=====

(24)
DFT (PBE-GGA) results for crystalline Mg3Sb2 at its relaxed geometry.

DFT total energy ... -28.9 eV/cell
Magnetization ... 0.00 μB per formula unit
Energy relative to the elements, uncorrected ... -0.287 eV/atom

Unit cell a=11.166 b=8.637 c=7.838 alpha=85.18 beta=50.43 gamma=44.39
Positions (direct):
Mg 0.754 0.607 0.222
Mg 0.417 0.222 0.607
Mg 0.643 0.496 0.833
Mg 0.028 0.833 0.496
Mg 0.157 0.843 0.843
Mg 0.407 0.093 0.093
Sb 0.269 0.908 0.419
Sb 0.403 0.419 0.908
Sb 0.342 0.981 0.847
Sb 0.831 0.847 0.981

=====

(25)
DFT (PBE-GGA) results for crystalline MgSb2 at its relaxed geometry.

DFT total energy ... -19.7 eV/cell
Magnetization ... 0.00 μB per formula unit
Energy relative to the elements, uncorrected ... -0.001 eV/atom

Unit cell a=5.882 b=5.882 c=8.247 alpha=81.45 beta=81.45 gamma=34.64
Positions (direct):
Mg 0.046 0.046 0.988
Mg 0.373 0.373 0.317
Sb 0.590 0.590 0.675
Sb 0.649 0.649 0.263
Sb 0.859 0.859 0.611
Sb 0.316 0.316 0.979

=====

(26)
DFT (PBE-GGA) results for crystalline MgSb2 at its relaxed geometry.

DFT total energy ... -10.0 eV/cell
Magnetization ... 0.00 μB per formula unit
Energy relative to the elements, uncorrected ... -0.058 eV/atom

Unit cell a=4.502 b=4.502 c=4.256 alpha=90.00 beta=90.00 gamma=90.00
Positions (direct):
Mg 0.000 0.000 0.000
Sb 0.000 0.500 0.500
Sb 0.500 0.000 0.500